Computed, not measured: TaTl2Mo after structural relaxation at the GGA-PBE level of DFT.

Output
V = 21.16 A^3/atom
formation energy = 0.61 eV/atom
crystal system = orthorhombic
mass density = 13.5 g cm⁻³

Cell and atoms, written as CIF:
```
data_TaTl2Mo
_space_group_name_H-M_alt 'P 1'
_space_group_IT_number 1
_space_group_name_Hall 'P 1'
_cell_length_a 6.002
_cell_length_b 6.002
_cell_length_c 6.002
_cell_angle_alpha 148.22
_cell_angle_beta 131.45
_cell_angle_gamma 59.19
loop_
_atom_site_label
_atom_site_type_symbol
_atom_site_fract_x
_atom_site_fract_y
_atom_site_fract_z
_atom_site_occupancy
Ta1 Ta 0.000 0.000 0.000 1
Tl1 Tl 0.275 0.775 0.500 1
Tl2 Tl 0.553 0.553 0.000 1
Mo1 Mo 0.811 0.311 0.500 1
```

---

Computed, not measured: CuPd5Pt4 after structural relaxation at the GGA-PBE level of DFT.

Output
V = 17.17 A^3/atom
formation energy = 0.20 eV/atom
crystal system = orthorhombic
mass density = 13.3 g cm⁻³

Cell and atoms, written as CIF:
```
data_CuPd5Pt4
_space_group_name_H-M_alt 'P 1'
_space_group_IT_number 1
_space_group_name_Hall 'P 1'
_cell_length_a 8.135
_cell_length_b 8.854
_cell_length_c 4.766
_cell_angle_alpha 90.00
_cell_angle_beta 90.00
_cell_angle_gamma 90.00
loop_
_atom_site_label
_atom_site_type_symbol
_atom_site_fract_x
_atom_site_fract_y
_atom_site_fract_z
_atom_site_occupancy
Cu1 Cu 0.250 0.250 0.047 1
Cu2 Cu 0.750 0.750 0.953 1
Pd1 Pd 0.083 0.008 0.256 1
Pd2 Pd 0.083 0.492 0.256 1
Pd3 Pd 0.250 0.750 0.428 1
Pd4 Pd 0.417 0.008 0.256 1
Pd5 Pd 0.417 0.492 0.256 1
Pd6 Pd 0.583 0.508 0.744 1
Pd7 Pd 0.583 0.992 0.744 1
Pd8 Pd 0.750 0.250 0.572 1
Pd9 Pd 0.917 0.508 0.744 1
Pd10 Pd 0.917 0.992 0.744 1
Pt1 Pt 0.078 0.750 0.925 1
Pt2 Pt 0.250 0.007 0.753 1
Pt3 Pt 0.250 0.493 0.753 1
Pt4 Pt 0.422 0.750 0.925 1
Pt5 Pt 0.578 0.250 0.075 1
Pt6 Pt 0.750 0.507 0.247 1
Pt7 Pt 0.750 0.993 0.247 1
Pt8 Pt 0.922 0.250 0.075 1
```

---

Computed, not measured: Ce6H3C2N after structural relaxation at the GGA-PBE level of DFT.

Output
V = 16.48 A^3/atom
crystal system = monoclinic
mass density = 7.4 g cm⁻³
calculated total energy = -6.58 eV/atom

Cell and atoms, written as CIF:
```
data_Ce6H3C2N
_space_group_name_H-M_alt 'P 1'
_space_group_IT_number 1
_space_group_name_Hall 'P 1'
_cell_length_a 6.129
_cell_length_b 6.129
_cell_length_c 6.413
_cell_angle_alpha 99.16
_cell_angle_beta 99.16
_cell_angle_gamma 120.00
loop_
_atom_site_label
_atom_site_type_symbol
_atom_site_fract_x
_atom_site_fract_y
_atom_site_fract_z
_atom_site_occupancy
Ce1 Ce 0.078 0.409 0.235 1
Ce2 Ce 0.253 0.253 0.765 1
Ce3 Ce 0.409 0.078 0.235 1
Ce4 Ce 0.591 0.922 0.765 1
Ce5 Ce 0.747 0.747 0.235 1
Ce6 Ce 0.922 0.591 0.765 1
H1 H 0.171 0.829 0.500 1
H2 H 0.500 0.500 0.500 1
H3 H 0.829 0.171 0.500 1
C1 C 0.334 0.666 0.000 1
C2 C 0.666 0.334 0.000 1
N1 N 0.000 0.000 0.000 1
```

---

Computed, not measured: PrSm5Tl5 after structural relaxation at the GGA-PBE level of DFT.

Output
V = 32.50 A^3/atom
formation energy = -0.13 eV/atom
crystal system = monoclinic
mass density = 8.9 g cm⁻³

Cell and atoms, written as CIF:
```
data_PrSm5Tl5
_space_group_name_H-M_alt 'P 1'
_space_group_IT_number 1
_space_group_name_Hall 'P 1'
_cell_length_a 8.764
_cell_length_b 8.764
_cell_length_c 7.222
_cell_angle_alpha 97.89
_cell_angle_beta 97.89
_cell_angle_gamma 40.66
loop_
_atom_site_label
_atom_site_type_symbol
_atom_site_fract_x
_atom_site_fract_y
_atom_site_fract_z
_atom_site_occupancy
Pr1 Pr 0.000 0.000 0.000 1
Sm1 Sm 0.000 0.000 0.500 1
Sm2 Sm 0.321 0.321 0.087 1
Sm3 Sm 0.360 0.360 0.597 1
Sm4 Sm 0.640 0.640 0.403 1
Sm5 Sm 0.679 0.679 0.913 1
Tl1 Tl 0.169 0.169 0.292 1
Tl2 Tl 0.175 0.175 0.736 1
Tl3 Tl 0.500 0.500 0.000 1
Tl4 Tl 0.825 0.825 0.264 1
Tl5 Tl 0.831 0.831 0.708 1
```

---

Computed, not measured: Hf4MoPd after structural relaxation at the GGA-PBE level of DFT.

Output
V = 19.42 A^3/atom
formation energy = -0.24 eV/atom
crystal system = tetragonal
mass density = 13.1 g cm⁻³

Cell and atoms, written as CIF:
```
data_Hf4MoPd
_space_group_name_H-M_alt 'P 1'
_space_group_IT_number 1
_space_group_name_Hall 'P 1'
_cell_length_a 3.359
_cell_length_b 3.359
_cell_length_c 10.328
_cell_angle_alpha 90.00
_cell_angle_beta 90.00
_cell_angle_gamma 90.00
loop_
_atom_site_label
_atom_site_type_symbol
_atom_site_fract_x
_atom_site_fract_y
_atom_site_fract_z
_atom_site_occupancy
Hf1 Hf 0.000 0.000 0.154 1
Hf2 Hf 0.000 0.000 0.846 1
Hf3 Hf 0.500 0.500 0.341 1
Hf4 Hf 0.500 0.500 0.659 1
Mo1 Mo 0.500 0.500 0.000 1
Pd1 Pd 0.000 0.000 0.500 1
```

---

Computed, not measured: CsRb2SnAu after structural relaxation at the GGA-PBE level of DFT.

Output
V = 49.81 A^3/atom
formation energy = -0.12 eV/atom
crystal system = tetragonal
mass density = 4.1 g cm⁻³

Cell and atoms, written as CIF:
```
data_CsRb2SnAu
_space_group_name_H-M_alt 'P 1'
_space_group_IT_number 1
_space_group_name_Hall 'P 1'
_cell_length_a 6.761
_cell_length_b 6.761
_cell_length_c 5.448
_cell_angle_alpha 90.00
_cell_angle_beta 90.00
_cell_angle_gamma 90.00
loop_
_atom_site_label
_atom_site_type_symbol
_atom_site_fract_x
_atom_site_fract_y
_atom_site_fract_z
_atom_site_occupancy
Cs1 Cs 0.000 0.000 0.000 1
Rb1 Rb 0.000 0.500 0.500 1
Rb2 Rb 0.500 0.000 0.500 1
Sn1 Sn 0.500 0.500 0.000 1
Au1 Au 0.500 0.500 0.500 1
```

---

Computed, not measured: ZnAgN2 after structural relaxation at the GGA-PBE level of DFT.

Output
V = 13.97 A^3/atom
ΔE_f (raw) = 1225 meV per atom
crystal system = trigonal
mass density = 6.0 g cm⁻³

Cell and atoms, written as CIF:
```
data_ZnAgN2
_space_group_name_H-M_alt 'P 1'
_space_group_IT_number 1
_space_group_name_Hall 'P 1'
_cell_length_a 6.088
_cell_length_b 6.088
_cell_length_c 6.088
_cell_angle_alpha 31.88
_cell_angle_beta 31.88
_cell_angle_gamma 31.88
loop_
_atom_site_label
_atom_site_type_symbol
_atom_site_fract_x
_atom_site_fract_y
_atom_site_fract_z
_atom_site_occupancy
Zn1 Zn 0.000 0.000 0.000 1
Ag1 Ag 0.500 0.500 0.500 1
N1 N 0.107 0.107 0.107 1
N2 N 0.893 0.893 0.893 1
```

---

Computed, not measured: AcPmSnBr after structural relaxation at the GGA-PBE level of DFT.

Output
V = 30.66 A^3/atom
ΔE_f (raw) = -919 meV per atom
crystal system = cubic
mass density = 7.7 g cm⁻³

Cell and atoms, written as CIF:
```
data_AcPmSnBr
_space_group_name_H-M_alt 'P 1'
_space_group_IT_number 1
_space_group_name_Hall 'P 1'
_cell_length_a 5.577
_cell_length_b 5.577
_cell_length_c 5.577
_cell_angle_alpha 60.00
_cell_angle_beta 60.00
_cell_angle_gamma 60.00
loop_
_atom_site_label
_atom_site_type_symbol
_atom_site_fract_x
_atom_site_fract_y
_atom_site_fract_z
_atom_site_occupancy
Ac1 Ac 0.000 0.000 0.000 1
Pm1 Pm 0.500 0.500 0.500 1
Sn1 Sn 0.250 0.250 0.250 1
Br1 Br 0.750 0.750 0.750 1
```

---

Computed, not measured: AcNd4Sm after structural relaxation at the GGA-PBE level of DFT.

Output
V = 36.51 A^3/atom
formation energy = 0.06 eV/atom
crystal system = monoclinic
mass density = 7.2 g cm⁻³

Cell and atoms, written as CIF:
```
data_AcNd4Sm
_space_group_name_H-M_alt 'P 1'
_space_group_IT_number 1
_space_group_name_Hall 'P 1'
_cell_length_a 10.778
_cell_length_b 10.778
_cell_length_c 6.925
_cell_angle_alpha 100.15
_cell_angle_beta 100.15
_cell_angle_gamma 140.40
loop_
_atom_site_label
_atom_site_type_symbol
_atom_site_fract_x
_atom_site_fract_y
_atom_site_fract_z
_atom_site_occupancy
Ac1 Ac 0.213 0.787 0.750 1
Ac2 Ac 0.787 0.213 0.250 1
Nd1 Nd 0.130 0.377 0.760 1
Nd2 Nd 0.206 0.299 0.253 1
Nd3 Nd 0.299 0.206 0.753 1
Nd4 Nd 0.377 0.130 0.260 1
Nd5 Nd 0.623 0.870 0.740 1
Nd6 Nd 0.701 0.794 0.247 1
Nd7 Nd 0.794 0.701 0.747 1
Nd8 Nd 0.870 0.623 0.240 1
Sm1 Sm 0.283 0.717 0.250 1
Sm2 Sm 0.717 0.283 0.750 1
```

---

Computed, not measured: PrCd5Au7 after structural relaxation at the GGA-PBE level of DFT.

Output
V = 21.43 A^3/atom
formation energy = -0.26 eV/atom
crystal system = orthorhombic
mass density = 12.4 g cm⁻³

Cell and atoms, written as CIF:
```
data_PrCd5Au7
_space_group_name_H-M_alt 'P 1'
_space_group_IT_number 1
_space_group_name_Hall 'P 1'
_cell_length_a 7.532
_cell_length_b 7.532
_cell_length_c 7.532
_cell_angle_alpha 134.77
_cell_angle_beta 93.60
_cell_angle_gamma 103.47
loop_
_atom_site_label
_atom_site_type_symbol
_atom_site_fract_x
_atom_site_fract_y
_atom_site_fract_z
_atom_site_occupancy
Pr1 Pr 0.000 0.000 0.000 1
Cd1 Cd 0.001 0.496 0.005 1
Cd2 Cd 0.001 0.995 0.504 1
Cd3 Cd 0.491 0.496 0.496 1
Cd4 Cd 0.491 0.995 0.995 1
Cd5 Cd 0.724 0.224 0.500 1
Au1 Au 0.141 0.493 0.648 1
Au2 Au 0.268 0.768 0.500 1
Au3 Au 0.309 0.997 0.311 1
Au4 Au 0.338 0.338 0.000 1
Au5 Au 0.664 0.664 0.000 1
Au6 Au 0.686 0.997 0.689 1
Au7 Au 0.845 0.493 0.352 1
```

---

Computed, not measured: Ac2CdF after structural relaxation at the GGA-PBE level of DFT.

Output
V = 30.12 A^3/atom
ΔE_f (raw) = -1216 meV per atom
crystal system = trigonal
mass density = 8.1 g cm⁻³

Cell and atoms, written as CIF:
```
data_Ac2CdF
_space_group_name_H-M_alt 'P 1'
_space_group_IT_number 1
_space_group_name_Hall 'P 1'
_cell_length_a 8.363
_cell_length_b 8.363
_cell_length_c 8.363
_cell_angle_alpha 28.85
_cell_angle_beta 28.85
_cell_angle_gamma 28.85
loop_
_atom_site_label
_atom_site_type_symbol
_atom_site_fract_x
_atom_site_fract_y
_atom_site_fract_z
_atom_site_occupancy
Ac1 Ac 0.231 0.231 0.231 1
Ac2 Ac 0.769 0.769 0.769 1
Cd1 Cd 0.000 0.000 0.000 1
F1 F 0.500 0.500 0.500 1
```

---

Computed, not measured: Sm5Co2Rh after structural relaxation at the GGA-PBE level of DFT.

Output
V = 23.92 A^3/atom
formation energy = -0.28 eV/atom
crystal system = tetragonal
mass density = 8.4 g cm⁻³

Cell and atoms, written as CIF:
```
data_Sm5Co2Rh
_space_group_name_H-M_alt 'P 1'
_space_group_IT_number 1
_space_group_name_Hall 'P 1'
_cell_length_a 8.860
_cell_length_b 8.860
_cell_length_c 8.860
_cell_angle_alpha 131.43
_cell_angle_beta 131.43
_cell_angle_gamma 71.12
loop_
_atom_site_label
_atom_site_type_symbol
_atom_site_fract_x
_atom_site_fract_y
_atom_site_fract_z
_atom_site_occupancy
Sm1 Sm 0.000 0.000 0.000 1
Sm2 Sm 0.036 0.536 0.855 1
Sm3 Sm 0.181 0.036 0.500 1
Sm4 Sm 0.319 0.819 0.855 1
Sm5 Sm 0.464 0.319 0.500 1
Sm6 Sm 0.500 0.500 0.000 1
Sm7 Sm 0.536 0.681 0.500 1
Sm8 Sm 0.681 0.181 0.145 1
Sm9 Sm 0.819 0.964 0.500 1
Sm10 Sm 0.964 0.464 0.145 1
Co1 Co 0.111 0.389 0.500 1
Co2 Co 0.389 0.889 0.277 1
Co3 Co 0.611 0.111 0.723 1
Co4 Co 0.889 0.611 0.500 1
Rh1 Rh 0.250 0.250 0.000 1
Rh2 Rh 0.750 0.750 0.000 1
```